1.
HfMo2PtW: relaxed, GGA-PBE.

Summary:
- calculated formation energy (eV per atom) = 1.5563
- DOS at the Fermi energy (states/eV per atom) = 1.20

a = 4.762 Å, b = 4.791 Å, c = 4.762 Å
α = 90.00°, β = 90.00°, γ = 90.00°
Positions (direct):
Pt  0.000  0.000  0.000
W  0.000  0.500  0.000
Mo  0.000  0.000  0.500
Mo  0.500  0.000  0.000
Hf  0.500  0.500  0.500



2.
HfZn2MoPt: relaxed, GGA-PBE.

Summary:
- calculated formation energy (eV per atom) = 0.7029
- DOS at the Fermi energy (states/eV per atom) = 0.37

a = 4.599 Å, b = 4.968 Å, c = 4.599 Å
α = 90.00°, β = 90.00°, γ = 90.00°
Positions (direct):
Zn  0.500  0.000  0.000
Mo  0.000  0.500  0.000
Hf  0.500  0.500  0.500
Pt  0.000  0.000  0.000
Zn  0.000  0.000  0.500